(1)
This record from OQMD describes crystalline TbAgSnS3 at its relaxed geometry. The functional is PBE-GGA.

a = 7.444 Å, b = 4.023 Å, c = 9.702 Å
α = 90.00°, β = 105.06°, γ = 90.00°
Atoms (fractional coordinates):
Ag 0.391 0.750 0.410
Ag 0.609 0.250 0.590
S 0.936 0.750 0.139
S 0.458 0.750 0.170
S 0.195 0.250 0.450
S 0.805 0.750 0.550
S 0.542 0.250 0.830
S 0.064 0.250 0.861
Sn 0.797 0.250 0.307
Sn 0.203 0.750 0.693
Tb 0.209 0.250 0.151
Tb 0.791 0.750 0.849

As for the total DFT energy (no corrections): -0.1811 hartree per atom. Its crystal system is monoclinic.

---

(2)
This record from OQMD describes crystalline Nb4GaSe4S4 at its relaxed geometry. The functional is PBE-GGA.

a = 7.367 Å, b = 7.367 Å, c = 7.367 Å
α = 60.00°, β = 60.00°, γ = 60.00°
Atoms (fractional coordinates):
Ga 0.000 0.000 0.000
Nb 0.602 0.602 0.195
Nb 0.602 0.195 0.602
Nb 0.195 0.602 0.602
Nb 0.602 0.602 0.602
S 0.886 0.371 0.371
S 0.371 0.886 0.371
S 0.371 0.371 0.371
S 0.371 0.371 0.886
Se 0.865 0.865 0.405
Se 0.865 0.405 0.865
Se 0.405 0.865 0.865
Se 0.865 0.865 0.865

As for the total DFT energy (no corrections): -0.2429 hartree per atom. Its crystal system is cubic.

---

(3)
This record from OQMD describes crystalline ZrCu at its relaxed geometry. The functional is PBE-GGA.

a = 4.967 Å, b = 9.445 Å, c = 4.453 Å
α = 90.00°, β = 90.00°, γ = 90.00°
Atoms (fractional coordinates):
Cu 0.494 0.201 0.000
Cu 0.994 0.633 0.000
Cu 0.827 0.199 0.500
Cu 0.403 0.344 0.500
Cu 0.903 0.489 0.500
Cu 0.327 0.635 0.500
Zr 0.906 0.009 0.000
Zr 0.013 0.326 0.000
Zr 0.513 0.507 0.000
Zr 0.406 0.824 0.000
Zr 0.357 0.044 0.500
Zr 0.857 0.789 0.500

The value obtained for the calculated formation energy is -29 meV/atom. Its crystal system is orthorhombic.

---

(4)
This record from OQMD describes crystalline Li4SmTaO6 at its relaxed geometry. The functional is PBE-GGA.

a = 5.525 Å, b = 5.525 Å, c = 5.208 Å
α = 99.49°, β = 99.49°, γ = 120.60°
Atoms (fractional coordinates):
Li 0.502 0.498 0.000
Li 0.641 0.359 0.500
Li 0.335 0.665 0.500
Li 0.029 0.971 0.500
O 0.933 0.610 0.231
O 0.532 0.901 0.239
O 0.248 0.211 0.241
O 0.789 0.752 0.759
O 0.099 0.468 0.761
O 0.390 0.067 0.769
Sm 0.835 0.165 0.000
Ta 0.168 0.832 0.000

As for the total DFT energy (no corrections): -0.2587 hartree per atom. Its crystal system is monoclinic.

---

(5)
This record from OQMD describes crystalline RbScHgSe3 at its relaxed geometry. The functional is PBE-GGA.

a = 10.235 Å, b = 4.179 Å, c = 15.837 Å
α = 90.00°, β = 90.00°, γ = 90.00°
Atoms (fractional coordinates):
Hg 0.183 0.750 0.143
Hg 0.683 0.750 0.357
Hg 0.317 0.250 0.643
Hg 0.817 0.250 0.857
Rb 0.471 0.250 0.179
Rb 0.971 0.250 0.321
Rb 0.029 0.750 0.679
Rb 0.529 0.750 0.821
Sc 0.836 0.750 0.051
Sc 0.336 0.750 0.449
Sc 0.664 0.250 0.551
Sc 0.164 0.250 0.949
Se 0.319 0.750 0.004
Se 0.011 0.250 0.094
Se 0.731 0.750 0.199
Se 0.231 0.750 0.301
Se 0.511 0.250 0.406
Se 0.819 0.750 0.496
Se 0.181 0.250 0.504
Se 0.489 0.750 0.594
Se 0.769 0.250 0.699
Se 0.269 0.250 0.801
Se 0.989 0.750 0.906
Se 0.681 0.250 0.996

As for the total DFT energy (no corrections): -0.1485 hartree per atom. Its crystal system is orthorhombic.

---

(6)
This record from OQMD describes crystalline HgI2 at its relaxed geometry. The functional is PBE-GGA.

a = 9.222 Å, b = 9.222 Å, c = 9.222 Å
α = 60.00°, β = 60.00°, γ = 60.00°
Atoms (fractional coordinates):
Hg 0.250 0.250 0.250
Hg 0.500 0.500 0.500
I 0.875 0.375 0.375
I 0.375 0.875 0.375
I 0.375 0.375 0.375
I 0.375 0.375 0.875

As for the total DFT energy (no corrections): -0.0450 hartree per atom. Its crystal system is cubic.

---

(7)
This record from OQMD describes crystalline DyCdInTe3 at its relaxed geometry. The functional is PBE-GGA.

a = 8.730 Å, b = 4.447 Å, c = 11.135 Å
α = 90.00°, β = 107.22°, γ = 90.00°
Atoms (fractional coordinates):
Cd 0.923 0.750 0.389
Cd 0.077 0.250 0.611
Dy 0.688 0.250 0.141
Dy 0.312 0.750 0.859
In 0.254 0.250 0.278
In 0.746 0.750 0.722
Te 0.936 0.750 0.139
Te 0.441 0.750 0.145
Te 0.742 0.250 0.443
Te 0.258 0.750 0.557
Te 0.559 0.250 0.855
Te 0.064 0.250 0.861

As for the total DFT energy (no corrections): -0.1356 hartree per atom. Its crystal system is monoclinic.

---

(8)
This record from OQMD describes crystalline KLiPd at its relaxed geometry. The functional is PBE-GGA.

a = 4.946 Å, b = 4.946 Å, c = 4.946 Å
α = 60.00°, β = 60.00°, γ = 60.00°
Atoms (fractional coordinates):
K 0.250 0.250 0.250
Li 0.750 0.750 0.750
Pd 0.000 0.000 0.000

As for the total DFT energy (no corrections): -0.0953 hartree per atom. Its crystal system is cubic.

---

(9)
This record from OQMD describes crystalline Hf4BiPbC2 at its relaxed geometry. The functional is PBE-GGA.

a = 3.405 Å, b = 3.405 Å, c = 14.557 Å
α = 90.00°, β = 90.00°, γ = 120.00°
Atoms (fractional coordinates):
Bi 0.000 0.000 0.500
C 0.667 0.333 0.251
C 0.667 0.333 0.749
Hf 0.000 0.000 0.170
Hf 0.333 0.667 0.332
Hf 0.333 0.667 0.668
Hf 0.000 0.000 0.830
Pb 0.333 0.667 0.000

As for the total DFT energy (no corrections): -0.3257 hartree per atom. Its crystal system is hexagonal.

---

(10)
This record from OQMD describes crystalline Hf2Ta4P3N3 at its relaxed geometry. The functional is PBE-GGA.

a = 5.717 Å, b = 5.717 Å, c = 12.063 Å
α = 103.54°, β = 103.54°, γ = 60.28°
Atoms (fractional coordinates):
Hf 0.363 0.535 0.105
Hf 0.465 0.637 0.395
Hf 0.535 0.363 0.605
Hf 0.637 0.465 0.895
N 0.000 0.500 0.000
N 0.657 0.188 0.000
N 0.812 0.343 0.500
N 0.500 0.000 0.500
N 0.188 0.657 0.500
N 0.343 0.812 0.000
P 0.768 0.581 0.249
P 0.067 0.933 0.250
P 0.419 0.232 0.251
P 0.581 0.768 0.749
P 0.933 0.067 0.750
P 0.232 0.419 0.751
Ta 0.698 0.877 0.095
Ta 0.043 0.188 0.096
Ta 0.812 0.957 0.404
Ta 0.123 0.302 0.405
Ta 0.877 0.698 0.595
Ta 0.188 0.043 0.596
Ta 0.957 0.812 0.904
Ta 0.302 0.123 0.905

As for the total DFT energy (no corrections): -0.3693 hartree per atom. Its crystal system is monoclinic.

---

(11)
This record from OQMD describes crystalline Dy2BrClO at its relaxed geometry. The functional is PBE-GGA.

a = 3.630 Å, b = 3.630 Å, c = 9.774 Å
α = 90.00°, β = 90.00°, γ = 120.00°
Atoms (fractional coordinates):
Br 0.000 0.000 0.822
Cl 0.333 0.667 0.191
Dy 0.000 0.000 0.370
Dy 0.333 0.667 0.624
O 0.667 0.333 0.493

As for the total DFT energy (no corrections): -0.2108 hartree per atom. Its crystal system is trigonal.

---

(12)
This record from OQMD describes crystalline PmGaOs at its relaxed geometry. The functional is PBE-GGA.

a = 4.700 Å, b = 4.700 Å, c = 4.700 Å
α = 60.00°, β = 60.00°, γ = 60.00°
Atoms (fractional coordinates):
Ga 0.250 0.250 0.250
Os 0.750 0.750 0.750
Pm 0.000 0.000 0.000

As for the total DFT energy (no corrections): -0.2023 hartree per atom. Its crystal system is cubic.